# 1
# Sr3Sm2UP6 | Alexandria via LeMat-Bulk | PBE | optimized geometry
data_Sr3Sm2UP6
_chemical_formula_sum 'Sr6 Sm4 U2 P12'
_cell_length_a 7.219
_cell_length_b 12.502
_cell_length_c 7.373
_cell_angle_alpha 90.00
_cell_angle_beta 109.13
_cell_angle_gamma 90.00
_space_group_name_H-M_alt 'C 1 2/m 1'
_space_group_IT_number 12
loop_
_space_group_symop_operation_xyz
'x,y,z'
'-x,-y,-z'
'-x,y,-z'
'x,-y,z'
'x+1/2,y+1/2,z'
'-x+1/2,-y+1/2,-z'
'-x+1/2,y+1/2,-z'
'x+1/2,-y+1/2,z'
loop_
_atom_site_label
_atom_site_fract_x
_atom_site_fract_y
_atom_site_fract_z
Sr1 0.000 0.000 0.000
Sr2 0.000 0.330 0.000
Sm1 0.000 0.166 0.500
U1 0.000 0.500 0.500
P1 0.228 0.344 0.718
P2 0.238 0.500 0.283
# Total energy in eV/atom: -6.08
# ρ in Mg/m³: 5.22

***

# 2
# TbSmP2 | Alexandria via LeMat-Bulk | PBE | optimized geometry
data_TbSmP2
_chemical_formula_sum 'Tb3 Sm3 P6'
_cell_length_a 4.0221
_cell_length_b 4.0221
_cell_length_c 20.7913
_cell_angle_alpha 90.00
_cell_angle_beta 90.00
_cell_angle_gamma 120.00
_space_group_name_H-M_alt 'R 3 m'
_space_group_IT_number 160
_space_group_name_Hall 'R 3 -2"'
loop_
_atom_site_label
_atom_site_fract_x
_atom_site_fract_y
_atom_site_fract_z
Tb1 0.0000 0.0000 0.0000
Sm1 0.0000 0.0000 0.1715
P1 0.0000 0.0000 0.4165
P2 0.0000 0.0000 0.5882
# Relative energy among the computed polymorphs in eV per formula unit: 0.65
# ρ in Mg/m³: 6.35

***

# 3
# TbSmP2 | Alexandria via LeMat-Bulk | PBE | optimized geometry
data_TbSmP2
_chemical_formula_sum 'Tb3 Sm3 P6'
_cell_length_a 4.0704
_cell_length_b 4.0704
_cell_length_c 19.9123
_cell_angle_alpha 90.00
_cell_angle_beta 90.00
_cell_angle_gamma 120.00
_space_group_name_H-M_alt 'R -3 m'
_space_group_IT_number 166
_space_group_name_Hall '-R 3 2"'
loop_
_atom_site_label
_atom_site_fract_x
_atom_site_fract_y
_atom_site_fract_z
Tb1 0.0000 0.0000 0.0000
Sm1 0.0000 0.0000 0.5000
P1 0.0000 0.0000 0.2516
# Relative energy among the computed polymorphs in eV per formula unit: 0.00
# ρ in Mg/m³: 6.47

***

# 4
# Tb3Sm5P8 | Alexandria via LeMat-Bulk | PBE | optimized geometry
data_Tb3Sm5P8
_chemical_formula_sum 'Tb9 Sm15 P24'
_cell_length_a 8.1559
_cell_length_b 8.1559
_cell_length_c 19.9799
_cell_angle_alpha 90.00
_cell_angle_beta 90.00
_cell_angle_gamma 120.00
_space_group_name_H-M_alt 'R -3 m'
_space_group_IT_number 166
_space_group_name_Hall '-R 3 2"'
loop_
_atom_site_label
_atom_site_fract_x
_atom_site_fract_y
_atom_site_fract_z
Tb1 0.0000 0.5000 0.0000
Sm1 0.0000 0.0000 0.0000
Sm2 0.0000 0.0000 0.5000
Sm3 0.0000 0.5000 0.5000
P1 0.0000 0.0000 0.2516
P2 0.0022 0.5011 0.2511
# Total energy in eV/atom: -6.63
# ρ in Mg/m³: 6.39

***

# 5
# Tb3SmP | Alexandria via LeMat-Bulk | PBE | optimized geometry
data_Tb3SmP
_chemical_formula_sum 'Tb3 Sm1 P1'
_cell_length_a 5.418
_cell_length_b 5.418
_cell_length_c 5.418
_cell_angle_alpha 90.00
_cell_angle_beta 90.00
_cell_angle_gamma 90.00
_space_group_name_H-M_alt 'P m -3 m'
_space_group_IT_number 221
_space_group_name_Hall '-P 4 2 3'
loop_
_atom_site_label
_atom_site_fract_x
_atom_site_fract_y
_atom_site_fract_z
Tb1 0.000 0.000 0.500
Sm1 0.500 0.500 0.500
P1 0.000 0.000 0.000
# Total energy in eV/atom: -5.21
# ρ in Mg/m³: 6.87

***

# 6
# Tb3Sm2P4 | Alexandria via LeMat-Bulk | PBE | optimized geometry
data_Tb3Sm2P4
_chemical_formula_sum 'Tb6 Sm4 P8'
_cell_length_a 13.325
_cell_length_b 4.025
_cell_length_c 9.862
_cell_angle_alpha 90.00
_cell_angle_beta 119.19
_cell_angle_gamma 90.00
_space_group_name_H-M_alt 'C 1 2/m 1'
_space_group_IT_number 12
loop_
_space_group_symop_operation_xyz
'x,y,z'
'-x,-y,-z'
'-x,y,-z'
'x,-y,z'
'x+1/2,y+1/2,z'
'-x+1/2,-y+1/2,-z'
'-x+1/2,y+1/2,-z'
'x+1/2,-y+1/2,z'
loop_
_atom_site_label
_atom_site_fract_x
_atom_site_fract_y
_atom_site_fract_z
Tb1 0.000 0.000 0.000
Tb2 0.204 0.000 0.809
Sm1 0.102 0.500 0.395
P1 0.101 0.500 0.900
P2 0.202 0.000 0.300
# Total energy in eV/atom: -6.42
# ρ in Mg/m³: 6.48

***

# 7
# Tb4SmP5 | Alexandria via LeMat-Bulk | PBE | optimized geometry
data_Tb4SmP5
_chemical_formula_sum 'Tb8 Sm2 P10'
_cell_length_a 9.045
_cell_length_b 9.045
_cell_length_c 5.721
_cell_angle_alpha 90.00
_cell_angle_beta 90.00
_cell_angle_gamma 90.00
_space_group_name_H-M_alt 'I 4/m'
_space_group_IT_number 87
_space_group_name_Hall '-I 4'
loop_
_atom_site_label
_atom_site_fract_x
_atom_site_fract_y
_atom_site_fract_z
Tb1 0.101 0.700 0.000
Sm1 0.000 0.000 0.500
P1 0.000 0.000 0.000
P2 0.101 0.698 0.500
# Total energy in eV/atom: -6.63
# ρ in Mg/m³: 6.68

***

# 8
# Tb5SmP6 | Alexandria via LeMat-Bulk | PBE | optimized geometry
data_Tb5SmP6
_chemical_formula_sum 'Tb10 Sm2 P12'
_cell_length_a 7.003
_cell_length_b 12.125
_cell_length_c 7.001
_cell_angle_alpha 90.00
_cell_angle_beta 109.49
_cell_angle_gamma 90.00
_space_group_name_H-M_alt 'C 1 2/m 1'
_space_group_IT_number 12
loop_
_space_group_symop_operation_xyz
'x,y,z'
'-x,-y,-z'
'-x,y,-z'
'x,-y,z'
'x+1/2,y+1/2,z'
'-x+1/2,-y+1/2,-z'
'-x+1/2,y+1/2,-z'
'x+1/2,-y+1/2,z'
loop_
_atom_site_label
_atom_site_fract_x
_atom_site_fract_y
_atom_site_fract_z
Tb1 0.000 0.000 0.000
Tb2 0.000 0.167 0.500
Tb3 0.000 0.334 0.000
Sm1 0.000 0.500 0.500
P1 0.248 0.000 0.751
P2 0.248 0.168 0.248
# Total energy in eV/atom: -6.63
# ρ in Mg/m³: 6.70